Material: SiBi3B
Method: DFT, GGA-PBE
State: relaxed

Cell lengths 5.0505, 5.0505, 5.0505 Å; angles 90.00, 90.00, 90.00 degrees
Last column: nearest neighbours and their distance in Å.
Fractional positions:
Si 0.0000 0.0000 0.0000  12 Bi 3.57
Bi 0.0000 0.5000 0.5000  2 B 2.53
Bi 0.5000 0.0000 0.5000  2 B 2.53
Bi 0.5000 0.5000 0.0000  2 B 2.53
B 0.5000 0.5000 0.5000  6 Bi 2.53

Properties
- Mass density: 8.58 g cm⁻³
- Formation energy (no corrections): 0.9657 eV per atom
- Calculated total energy: -3.783 eV/atom

***

Material: SiBiB2Te
Method: DFT, GGA-PBE
State: relaxed

Cell lengths 4.2337, 4.2337, 5.8854 Å; angles 90.00, 90.00, 90.00 degrees
Last column: nearest neighbours and their distance in Å.
Fractional positions:
Si 0.0000 0.0000 0.0000  4 B 2.12
Bi 0.0000 0.0000 0.5000  2 Si 2.94, 4 Te 2.99
B 0.0000 0.5000 0.0000  2 Si 2.12
B 0.5000 0.0000 0.0000  2 Si 2.12
Te 0.5000 0.5000 0.5000  4 Bi 2.99

Properties
- Mass density: 6.08 g cm⁻³
- Formation energy (no corrections): 1.2110 eV per atom
- Calculated total energy: -3.949 eV/atom

***

Material: Ti2SiBiB
Method: DFT, GGA-PBE
State: relaxed

Cell lengths 4.9082, 4.9082, 3.7455 Å; angles 90.00, 90.00, 90.00 degrees
Last column: nearest neighbours and their distance in Å.
Fractional positions:
Ti 0.0000 0.5000 0.0000  2 Si 2.45
Ti 0.5000 0.0000 0.0000  2 Si 2.45
Si 0.0000 0.0000 0.0000  2 B 1.87
Bi 0.5000 0.5000 0.5000  8 Ti 3.09
B 0.0000 0.0000 0.5000  2 Si 1.87

Properties
- Mass density: 6.32 g cm⁻³
- Formation energy (no corrections): 0.4416 eV per atom
- Calculated total energy: -5.913 eV/atom